DFT (PBE) results for an optimized crystal structure of In2PCl.

Results
Fermi-level density of states: 0.3570 states/eV/atom
space group: No. 12
uncorrected formation energy: -133 meV/atom
total DFT energy (no corrections): -3.317 eV per atom
polymorph energy (0 for the lowest one): 176 meV per atom

The structure in POSCAR format:
```
In2PCl
1.0
4.0144 -4.0143 0.0000
4.0144 4.0143 0.0000
-0.0249 0.0000 3.0086
In P Cl
2 1 1
Cartesian
2.0072 2.0071 0.0000
2.0072 -2.0071 0.0000
0.0000 0.0000 0.0000
4.0144 0.0000 0.0000
```

DFT (PBE) results for an optimized crystal structure of InPCl2.

Results
Fermi-level density of states: 0.9069 states/eV/atom
space group: No. 139
uncorrected formation energy: 296 meV/atom
total DFT energy (no corrections): -2.664 eV per atom
polymorph energy (0 for the lowest one): 731 meV per atom

The structure in POSCAR format:
```
InPCl2
1.0
-2.2130 2.2130 4.3939
2.2130 -2.2130 4.3939
2.2130 2.2130 -4.3939
In P Cl
1 1 2
Cartesian
0.0000 0.0000 0.0000
0.0000 0.0000 4.3939
2.2130 0.0000 2.1969
0.0000 2.2130 2.1969
```

DFT (PBE) results for an optimized crystal structure of In2PCl.

Results
Fermi-level density of states: 0.3626 states/eV/atom
space group: No. 44
uncorrected formation energy: -94 meV/atom
total DFT energy (no corrections): -3.278 eV per atom
polymorph energy (0 for the lowest one): 215 meV per atom

The structure in POSCAR format:
```
In2PCl
1.0
-1.6861 2.3332 6.0067
1.6861 -2.3332 6.0067
1.6861 2.3332 -6.0067
In P Cl
2 1 1
Cartesian
0.0000 0.0000 0.0000
0.0000 2.3332 3.1612
1.6861 0.0000 2.2284
0.0000 0.0000 5.6570
```

DFT (PBE) results for an optimized crystal structure of InPCl2.

Results
Fermi-level density of states: 0.6503 states/eV/atom
space group: No. 47
uncorrected formation energy: 281 meV/atom
total DFT energy (no corrections): -2.679 eV per atom
polymorph energy (0 for the lowest one): 716 meV per atom

The structure in POSCAR format:
```
InPCl2
1.0
3.2636 0.0000 0.0000
0.0000 4.2672 0.0000
0.0000 0.0000 6.2611
In P Cl
1 1 2
Cartesian
0.0000 0.0000 0.0000
0.0000 0.0000 3.1306
1.6318 2.1336 1.6231
1.6318 2.1336 4.6380
```

Q: What is the uncorrected formation energy in the third record?
A: -94 meV/atom

Q: The lowest total DFT energy (no corrections) belongs to which entry?
A: number 1